# Sr2LaTaPd GGA-PBE relaxed
data_Sr2LaTaPd
_symmetry_space_group_name_H-M 'P 1'
_symmetry_Int_Tables_number 1
_cell_length_a 5.8047
_cell_length_b 5.8047
_cell_length_c 5.1132
_cell_angle_alpha 90.00
_cell_angle_beta 90.00
_cell_angle_gamma 90.00
loop_
_symmetry_equiv_pos_as_xyz
'x,y,z'
loop_
_atom_site_label
_atom_site_fract_x
_atom_site_fract_y
_atom_site_fract_z
Sr1 0.0000 0.5000 0.0000
Sr2 0.5000 0.0000 0.0000
La1 0.0000 0.0000 0.5000
Ta1 0.5000 0.5000 0.5000
Pd1 0.5000 0.5000 0.0000
# M_tot   1.27 μB/f.u.
# Formation enthalpy at 0 K   0.50 eV/atom
# DOS at the Fermi energy   5.936 states/eV/f.u.